(1)
Below is crystalline Sr2AlAu at its relaxed geometry, with properties calculated at the PBE level.

Cell and atoms, written as POSCAR:
```
Sr2AlAu
1.0
6.467 -0.049 0.040
5.311 3.691 0.040
2.277 0.704 4.904
Sr Au Al
2 1 1
direct
0.031 0.031 0.969
0.231 0.231 0.269
0.793 0.793 0.707
0.445 0.445 0.555
```

Properties
The calculation puts the energy relative to the elements at -0.393 eV/atom. As for the calculated total energy: -2.989 eV/atom. As for the space group: Imm2, No. 44. For the density of states at the Fermi level, the calculation gives 2.87 states/eV/cell.

=====

(2)
Below is crystalline CaBRh3 at its relaxed geometry, with properties calculated at the PBE level.

Cell and atoms, written as POSCAR:
```
CaBRh3
1.0
-1.082 -4.675 -3.162
4.028 -2.074 -3.533
-0.262 -5.456 2.902
Ca B Rh
2 2 6
direct
0.905 0.502 0.450
0.522 0.694 0.029
0.058 0.926 0.722
0.368 0.271 0.757
0.395 0.017 0.475
0.031 0.699 0.004
0.550 0.180 0.004
0.031 0.179 0.004
0.395 0.497 0.475
0.876 0.017 0.475
```

Properties
The calculation puts the energy relative to the elements at -0.399 eV/atom. As for the calculated total energy: -6.546 eV/atom. As for the space group: C2/m, No. 12. For the density of states at the Fermi level, the calculation gives 6.54 states/eV/cell.

=====

(3)
Below is crystalline Na6PPd2 at its relaxed geometry, with properties calculated at the PBE level.

Cell and atoms, written as POSCAR:
```
Na6PPd2
1.0
-1.516 -1.756 4.546
2.003 -4.307 1.869
6.926 2.933 6.308
Na P Pd
6 1 2
direct
0.576 0.576 0.273
0.809 0.809 0.574
0.694 0.694 0.919
0.191 0.191 0.426
0.424 0.424 0.727
0.306 0.306 0.081
0.000 0.000 0.000
0.919 0.919 0.243
0.081 0.081 0.757
```

Properties
The calculation puts the energy relative to the elements at -0.199 eV/atom. As for the calculated total energy: -2.833 eV/atom. As for the space group: R-3m, No. 166. For the density of states at the Fermi level, the calculation gives 2.53 states/eV/cell.

=====

(4)
Below is crystalline CrOs3N at its relaxed geometry, with properties calculated at the PBE level.

Cell and atoms, written as POSCAR:
```
CrOs3N
1.0
4.030 0.000 0.000
0.000 4.030 0.000
0.000 0.000 4.030
Cr Os N
1 3 1
direct
0.500 0.500 0.500
0.000 0.500 0.000
0.000 0.000 0.500
0.500 0.000 0.000
0.000 0.000 0.000
```

Properties
For the excess energy over the best structure of this formula in the dataset, the calculation gives 0 meV per atom. Its formation energy (no corrections) is 2.9 eV per formula unit. As for the calculated total energy: -9.739 eV/atom. As for the space group: Pm-3m, No. 221. For the density of states at the Fermi level, the calculation gives 3.04 states/eV/cell.

=====

(5)
Below is crystalline BeAlN2F at its relaxed geometry, with properties calculated at the PBE level.

Cell and atoms, written as POSCAR:
```
BeAlN2F
1.0
3.755 0.000 0.000
0.000 3.755 0.000
0.000 0.000 3.598
Be N Al F
1 2 1 1
direct
0.500 0.500 0.500
0.000 0.500 0.000
0.500 0.000 0.000
0.000 0.000 0.000
0.000 0.000 0.500
```

Properties
For the excess energy over the best structure of this formula in the dataset, the calculation gives 91 meV per atom. Its formation energy (no corrections) is 0.1 eV per formula unit. As for the calculated total energy: -5.170 eV/atom. As for the space group: P4/mmm, No. 123. For the density of states at the Fermi level, the calculation gives 2.15 states/eV/cell.

=====

(6)
Below is crystalline PrSmNiI at its relaxed geometry, with properties calculated at the PBE level.

Cell and atoms, written as POSCAR:
```
PrSmNiI
1.0
4.126 0.000 0.000
-2.062 3.572 0.000
-2.063 -1.191 8.061
Pr Sm Ni I
1 1 1 1
direct
0.515 0.155 0.686
0.092 0.944 0.050
0.306 0.551 0.872
0.965 0.381 0.361
```

Properties
Its formation energy (no corrections) is -2.6 eV per formula unit. As for the calculated total energy: -4.867 eV/atom. As for the space group: R3m, No. 160. For the density of states at the Fermi level, the calculation gives 3.10 states/eV/cell.

=====

(7)
Below is crystalline SrCr4Se8 at its relaxed geometry, with properties calculated at the PBE level.

Cell and atoms, written as POSCAR:
```
SrCr4Se8
1.0
-3.045 1.638 -6.310
-2.075 -5.248 -4.464
-8.402 -1.286 -0.382
Sr Cr Se
1 4 8
direct
0.500 0.500 0.500
0.000 0.500 0.000
0.500 0.500 0.000
0.500 0.000 0.000
0.000 0.000 0.000
0.735 0.229 0.807
0.771 0.265 0.193
0.265 0.771 0.193
0.771 0.771 0.193
0.731 0.731 0.807
0.269 0.269 0.193
0.229 0.229 0.807
0.229 0.735 0.807
```

Properties
Its formation energy (no corrections) is -9.5 eV per formula unit. As for the calculated total energy: -5.966 eV/atom. As for the space group: R-3m, No. 166. For the density of states at the Fermi level, the calculation gives 8.05 states/eV/cell.

=====

(8)
Below is crystalline TaRuN2F at its relaxed geometry, with properties calculated at the PBE level.

Cell and atoms, written as POSCAR:
```
TaRuN2F
1.0
-2.849 1.710 -2.065
1.695 -1.187 -3.320
-2.054 -3.275 0.122
Ru N F Ta
1 2 1 1
direct
0.000 0.000 0.000
0.000 0.500 0.000
0.500 0.000 0.000
0.000 0.000 0.500
0.500 0.500 0.500
```

Properties
For the excess energy over the best structure of this formula in the dataset, the calculation gives 661 meV per atom. Its formation energy (no corrections) is 3.6 eV per formula unit. As for the calculated total energy: -7.220 eV/atom. As for the space group: P4/mmm, No. 123. For the density of states at the Fermi level, the calculation gives 4.65 states/eV/cell.

=====

> What is the formula in the fourth record?

CrOs3N

=====

> The lowest calculated total energy belongs to which entry?

CrOs3N

=====

> Number 6 is which compound?

PrSmNiI